The following is a GGA+U calculation of a relaxed structure of Mn2CdO4, from Alexandria.

Summary:
The total magnetization comes out at 16.00 μB per cell. For the total energy, the calculation gives -6.05 eV per atom. For the excess energy over the best structure of this formula in the dataset, the calculation gives 3.59 eV per formula unit.

abc: 5.848 5.848 5.528
angles: 90.00 90.00 90.00
Space group I422 (No. 97)
Asymmetric unit:
Mn: 0.000 0.500 0.000
Cd: 0.000 0.000 0.000
O: 0.166 0.334 0.750